Entry 1:
Computed, not measured: a geometry-optimized AlVCdSe2 structure at the PBE level of DFT.

Values from the calculation:
Raw total energy (eV per atom): -3.472

The structure in CIF format:
```
data_AlVCdSe2
_space_group_name_H-M_alt 'P 4/m m m'
_space_group_IT_number 123
_space_group_name_Hall '-P 4 2'
_cell_length_a 4.883
_cell_length_b 4.883
_cell_length_c 4.966
_cell_angle_alpha 90.00
_cell_angle_beta 90.00
_cell_angle_gamma 90.00
loop_
_atom_site_label
_atom_site_type_symbol
_atom_site_fract_x
_atom_site_fract_y
_atom_site_fract_z
Al1 Al 0.000 0.000 0.000
V1 V 0.000 0.000 0.500
Cd1 Cd 0.500 0.500 0.500
Se1 Se 0.000 0.500 0.000
```

Entry 2:
Computed, not measured: a geometry-optimized KIn4Ni structure at the PBE level of DFT.

Values from the calculation:
ΔE_f (eV/atom): -0.105

The structure in CIF format:
```
data_KIn4Ni
_space_group_name_H-M_alt 'P m m a'
_space_group_IT_number 51
_cell_length_a 8.833
_cell_length_b 4.175
_cell_length_c 8.432
_cell_angle_alpha 90.00
_cell_angle_beta 90.00
_cell_angle_gamma 90.00
loop_
_space_group_symop_operation_xyz
'x,y,z'
'-x,-y,-z'
'-x+1/2,-y,z'
'x+1/2,y,-z'
'x+1/2,-y,-z'
'-x+1/2,y,z'
'-x,y,-z'
'x,-y,z'
loop_
_atom_site_label
_atom_site_type_symbol
_atom_site_fract_x
_atom_site_fract_y
_atom_site_fract_z
K1 K 0.250 0.000 0.087
In1 In 0.000 0.000 0.500
In2 In 0.071 0.500 0.786
In3 In 0.250 0.500 0.432
Ni1 Ni 0.250 0.000 0.660
```

Entry 3:
Computed, not measured: a geometry-optimized BeCu2Ag structure at the PBE level of DFT.

Values from the calculation:
ΔE_f (eV/atom): 0.074

The structure in CIF format:
```
data_BeCu2Ag
_space_group_name_H-M_alt 'C 1 2/m 1'
_space_group_IT_number 12
_cell_length_a 9.260
_cell_length_b 2.877
_cell_length_c 4.149
_cell_angle_alpha 90.00
_cell_angle_beta 116.38
_cell_angle_gamma 90.00
loop_
_space_group_symop_operation_xyz
'x,y,z'
'-x,-y,-z'
'-x,y,-z'
'x,-y,z'
'x+1/2,y+1/2,z'
'-x+1/2,-y+1/2,-z'
'-x+1/2,y+1/2,-z'
'x+1/2,-y+1/2,z'
loop_
_atom_site_label
_atom_site_type_symbol
_atom_site_fract_x
_atom_site_fract_y
_atom_site_fract_z
Be1 Be 0.000 0.000 0.000
Cu1 Cu 0.221 0.500 0.221
Ag1 Ag 0.000 0.500 0.500
```

Entry 4:
Computed, not measured: a geometry-optimized ScCuPd2Au2 structure at the PBE level of DFT.

Values from the calculation:
ΔE_f (eV/atom): -0.352

The structure in CIF format:
```
data_ScCuPd2Au2
_space_group_name_H-M_alt 'P 1 21/m 1'
_space_group_IT_number 11
_cell_length_a 5.452
_cell_length_b 5.577
_cell_length_c 6.770
_cell_angle_alpha 90.00
_cell_angle_beta 98.05
_cell_angle_gamma 90.00
loop_
_space_group_symop_operation_xyz
'x,y,z'
'-x,-y,-z'
'-x,y+1/2,-z'
'x,-y+1/2,z'
loop_
_atom_site_label
_atom_site_type_symbol
_atom_site_fract_x
_atom_site_fract_y
_atom_site_fract_z
Sc1 Sc 0.232 0.250 0.210
Cu1 Cu 0.137 0.750 0.123
Pd1 Pd 0.005 0.250 0.515
Pd2 Pd 0.476 0.750 0.451
Au1 Au 0.289 0.502 0.830
```

Entry 5:
Computed, not measured: a geometry-optimized TlP2Br structure at the PBE level of DFT.

Values from the calculation:
Raw total energy (eV per atom): -3.796

The structure in CIF format:
```
data_TlP2Br
_space_group_name_H-M_alt 'P 1 m 1'
_space_group_IT_number 6
_cell_length_a 4.266
_cell_length_b 3.398
_cell_length_c 8.021
_cell_angle_alpha 90.00
_cell_angle_beta 104.72
_cell_angle_gamma 90.00
loop_
_space_group_symop_operation_xyz
'x,y,z'
'x,-y,z'
loop_
_atom_site_label
_atom_site_type_symbol
_atom_site_fract_x
_atom_site_fract_y
_atom_site_fract_z
Tl1 Tl 0.000 0.000 0.000
P1 P 0.502 0.500 0.380
P2 P 0.821 0.000 0.387
Br1 Br 0.399 0.500 0.795
```

Entry 6:
Computed, not measured: a geometry-optimized Sc2NbZnPb structure at the PBE level of DFT.

Values from the calculation:
ΔE_f (eV/atom): 0.588

The structure in CIF format:
```
data_Sc2NbZnPb
_space_group_name_H-M_alt 'P 4/m m m'
_space_group_IT_number 123
_space_group_name_Hall '-P 4 2'
_cell_length_a 5.032
_cell_length_b 5.032
_cell_length_c 5.144
_cell_angle_alpha 90.00
_cell_angle_beta 90.00
_cell_angle_gamma 90.00
loop_
_atom_site_label
_atom_site_type_symbol
_atom_site_fract_x
_atom_site_fract_y
_atom_site_fract_z
Sc1 Sc 0.000 0.500 0.000
Nb1 Nb 0.000 0.000 0.000
Zn1 Zn 0.000 0.000 0.500
Pb1 Pb 0.500 0.500 0.500
```